Record 1
An optimized crystal structure of Tm3Zr2N4, computed with PBE.

- E_tot: -0.3190 Ha/atom

a b c (Å): 5.8725 5.8725 8.2764
angles (deg): 120.27 120.27 33.41
With the nearest neighbours (Å) after each atom.
Element x y z (fractional)
Tm 0.0000 0.0000 0.0000  6 N 2.35-2.41
Tm 0.1973 0.1973 0.7977  5 N 2.38-2.42
Tm 0.8027 0.8027 0.2023  5 N 2.38-2.42
Zr 0.3896 0.3896 0.6116  4 N 2.27-2.28
Zr 0.6104 0.6104 0.3884  4 N 2.27-2.28
N 0.2030 0.2030 0.3058  3 Zr 2.27-2.28, 3 Tm 2.35-2.42
N 0.4037 0.4037 0.1058  1 Zr 2.27, 5 Tm 2.38-2.41
N 0.5963 0.5963 0.8942  1 Zr 2.27, 5 Tm 2.38-2.41
N 0.7970 0.7970 0.6942  3 Zr 2.27-2.28, 3 Tm 2.35-2.42

=====

Record 2
An optimized crystal structure of CaPr2Tc, computed with PBE.

- E_tot: -0.1970 Ha/atom
- Energy relative to the lowest polymorph listed for this composition: 0.000 eV/f.u.
- DFT formation energy: 122 meV per atom

a b c (Å): 3.5947 3.5947 9.6219
angles (deg): 90.00 90.00 90.00
With the nearest neighbours (Å) after each atom.
Element x y z (fractional)
Ca 0.0000 0.0000 0.0000  4 Ca 3.59, 8 Pr 4.01
Pr 0.5000 0.5000 0.3229  4 Tc 3.06, 1 Pr 3.41
Pr 0.5000 0.5000 0.6771  4 Tc 3.06, 1 Pr 3.41
Tc 0.0000 0.0000 0.5000  8 Pr 3.06